VASP calculation (PBE) on a relaxed Dy2Be15Co2 crystal.

Unit cell a=5.859 b=5.859 c=5.859 alpha=83.48 beta=83.48 gamma=83.48
Element x y z (fractional)
Dy 0.658 0.658 0.658
Be 0.726 0.000 0.274
Co 0.899 0.899 0.899
Be 0.500 0.000 0.000
Be 0.274 0.000 0.726
Be 0.000 0.500 0.000
Be 0.000 0.274 0.726
Be 0.274 0.726 0.000
Be 0.148 0.665 0.665
Be 0.335 0.852 0.335
Be 0.000 0.000 0.500
Be 0.726 0.274 0.000
Be 0.665 0.148 0.665
Dy 0.342 0.342 0.342
Be 0.335 0.335 0.852
Be 0.852 0.335 0.335
Be 0.000 0.726 0.274
Be 0.665 0.665 0.148
Co 0.101 0.101 0.101

Summary:
For the density, the calculation gives 4.86 g/cm3. Its formation energy from the elements is -0.1811 eV per atom.